VASP calculation (PBE-GGA) on a relaxed structure of ThBH.

Unit cell a=3.4856 b=3.4856 c=7.8878 alpha=77.12 beta=77.12 gamma=60.11
Positions (direct):
Th (0.9121, 0.9121, 0.7615)
Th (0.0879, 0.0879, 0.2385)
B (0.6647, 0.6647, 0.5039)
B (0.3353, 0.3353, 0.4961)
H (0.8087, 0.8087, 0.0750)
H (0.1913, 0.1913, 0.9250)

Summary:
theoretical density = 10.09 Mg/m³
ΔE to the lowest computed polymorph = 0 meV/atom
spin magnetization = 0.0 μB/cell

=====

VASP calculation (PBE-GGA) on a relaxed structure of TiB2H6.

Unit cell a=8.1798 b=15.1997 c=8.1798 alpha=21.70 beta=20.42 gamma=21.70
Positions (direct):
Ti (0.0000, 0.0000, 0.0000)
B (0.8431, 0.6569, 0.8431)
B (0.1569, 0.3431, 0.1569)
H (0.3708, 0.7462, 0.6292)
H (0.6292, 0.7462, 0.3708)
H (0.6693, 0.3307, 0.6693)
H (0.6292, 0.2538, 0.3708)
H (0.3708, 0.2538, 0.6292)
H (0.3307, 0.6693, 0.3307)

Summary:
theoretical density = 1.07 Mg/m³
ΔE to the lowest computed polymorph = 191 meV/atom
spin magnetization = 0.2 μB/cell

=====

VASP calculation (PBE-GGA) on a relaxed structure of TiB2H.

Unit cell a=3.6375 b=3.6375 c=3.6375 alpha=60.00 beta=60.00 gamma=60.00
Positions (direct):
H (0.0000, 0.0000, 0.0000)
B (0.2500, 0.2500, 0.2500)
B (0.7500, 0.7500, 0.7500)
Ti (0.5000, 0.5000, 0.5000)

Summary:
theoretical density = 3.44 Mg/m³
ΔE to the lowest computed polymorph = 908 meV/atom
spin magnetization = 0.0 μB/cell

=====

VASP calculation (PBE-GGA) on a relaxed structure of TiBH3.

Unit cell a=3.0497 b=3.0497 c=3.0497 alpha=90.00 beta=90.00 gamma=90.00
Positions (direct):
H (0.0000, 0.5000, 0.0000)
H (0.0000, 0.0000, 0.5000)
H (0.5000, 0.0000, 0.0000)
B (0.0000, 0.0000, 0.0000)
Ti (0.5000, 0.5000, 0.5000)

Summary:
theoretical density = 3.61 Mg/m³
ΔE to the lowest computed polymorph = 0 meV/atom
spin magnetization = 0.0 μB/cell

=====

VASP calculation (PBE-GGA) on a relaxed structure of Ti4BH2.

Unit cell a=3.1947 b=5.1581 c=9.7888 alpha=90.00 beta=90.00 gamma=108.04
Positions (direct):
Ti (0.7886, 0.5771, 0.1134)
Ti (0.7886, 0.5771, 0.3866)
Ti (0.2114, 0.4229, 0.8866)
Ti (0.2114, 0.4229, 0.6134)
Ti (0.9385, 0.8770, 0.7500)
Ti (0.0615, 0.1230, 0.2500)
Ti (0.5000, 0.0000, 0.0000)
Ti (0.5000, 0.0000, 0.5000)
B (0.6069, 0.2137, 0.7500)
B (0.3931, 0.7863, 0.2500)
H (0.1247, 0.2495, 0.4388)
H (0.8753, 0.7505, 0.9388)
H (0.1247, 0.2495, 0.0612)
H (0.8753, 0.7505, 0.5612)

Summary:
theoretical density = 4.42 Mg/m³
ΔE to the lowest computed polymorph = 0 meV/atom
spin magnetization = 0.0 μB/cell

=====

VASP calculation (PBE-GGA) on a relaxed structure of TiB3H.

Unit cell a=4.2983 b=4.2983 c=4.2983 alpha=90.00 beta=90.00 gamma=90.00
Positions (direct):
H (0.5000, 0.5000, 0.5000)
B (0.0000, 0.5000, 0.0000)
B (0.0000, 0.0000, 0.5000)
B (0.5000, 0.0000, 0.0000)
Ti (0.0000, 0.0000, 0.0000)

Summary:
theoretical density = 1.70 Mg/m³
ΔE to the lowest computed polymorph = 1747 meV/atom
spin magnetization = 0.2 μB/cell

=====

VASP calculation (PBE-GGA) on a relaxed structure of TiB2H.

Unit cell a=3.2853 b=3.2853 c=6.3638 alpha=75.04 beta=75.04 gamma=90.00
Positions (direct):
H (0.5000, 0.5000, 0.0000)
H (0.2500, 0.7500, 0.5000)
B (0.3750, 0.1250, 0.2500)
B (0.3750, 0.6250, 0.2500)
B (0.3750, 0.6250, 0.7500)
B (0.8750, 0.6250, 0.7500)
Ti (0.0000, 0.0000, 0.0000)
Ti (0.7500, 0.2500, 0.5000)

Summary:
theoretical density = 3.66 Mg/m³
ΔE to the lowest computed polymorph = 0 meV/atom
spin magnetization = 0.0 μB/cell

=====

VASP calculation (PBE-GGA) on a relaxed structure of Ti4BH2.

Unit cell a=4.2388 b=4.2388 c=5.6055 alpha=67.78 beta=67.78 gamma=90.00
Positions (direct):
H (0.4248, 0.4248, 0.1504)
H (0.5752, 0.5752, 0.8496)
B (0.0000, 0.0000, 0.0000)
Ti (0.2305, 0.2305, 0.5390)
Ti (0.7695, 0.7695, 0.4610)
Ti (0.0000, 0.5000, 0.0000)
Ti (0.5000, 0.0000, 0.0000)

Summary:
theoretical density = 3.99 Mg/m³
ΔE to the lowest computed polymorph = 286 meV/atom
spin magnetization = 0.7 μB/cell

=====

VASP calculation (PBE-GGA) on a relaxed structure of TiB3H.

Unit cell a=3.2856 b=3.2856 c=3.2856 alpha=90.00 beta=90.00 gamma=90.00
Positions (direct):
H (0.0000, 0.0000, 0.0000)
B (0.0000, 0.5000, 0.0000)
B (0.0000, 0.0000, 0.5000)
B (0.5000, 0.0000, 0.0000)
Ti (0.5000, 0.5000, 0.5000)

Summary:
theoretical density = 3.81 Mg/m³
ΔE to the lowest computed polymorph = 0 meV/atom
spin magnetization = 0.0 μB/cell

=====

VASP calculation (PBE-GGA) on a relaxed structure of TiBH3.

Unit cell a=3.4089 b=3.4089 c=3.4089 alpha=90.00 beta=90.00 gamma=90.00
Positions (direct):
H (0.0000, 0.5000, 0.0000)
H (0.0000, 0.0000, 0.5000)
H (0.5000, 0.0000, 0.0000)
B (0.5000, 0.5000, 0.5000)
Ti (0.0000, 0.0000, 0.0000)

Summary:
theoretical density = 2.59 Mg/m³
ΔE to the lowest computed polymorph = 477 meV/atom
spin magnetization = 0.0 μB/cell

=====

VASP calculation (PBE-GGA) on a relaxed structure of TiB2H6.

Unit cell a=4.8570 b=4.4647 c=5.4624 alpha=52.62 beta=55.88 gamma=38.94
Positions (direct):
H (0.2861, 0.9449, 0.2046)
H (0.7164, 0.0504, 0.4382)
H (0.2836, 0.9496, 0.5618)
H (0.7139, 0.0551, 0.7954)
H (0.8588, 0.6075, 0.2654)
H (0.1412, 0.3925, 0.7346)
B (0.7325, 0.8223, 0.7232)
B (0.2675, 0.1777, 0.2768)
Ti (0.0000, 0.0000, 0.0000)

Summary:
theoretical density = 2.15 Mg/m³
ΔE to the lowest computed polymorph = 0 meV/atom
spin magnetization = 0.0 μB/cell

=====

VASP calculation (PBE-GGA) on a relaxed structure of TiZn2BH.

Unit cell a=5.3226 b=3.9963 c=5.3226 alpha=90.00 beta=90.00 gamma=90.00
Positions (direct):
H (0.5000, 0.5000, 0.5000)
Zn (0.0000, 0.0000, 0.5000)
Zn (0.5000, 0.0000, 0.0000)
B (0.0000, 0.5000, 0.0000)
Ti (0.0000, 0.0000, 0.0000)

Summary:
theoretical density = 2.79 Mg/m³
spin magnetization = 0.7 μB/cell
uncorrected energy = -2.6062 eV per atom

=====

VASP calculation (PBE-GGA) on a relaxed structure of ZrTiB2H.

Unit cell a=4.1030 b=3.4870 c=4.1030 alpha=90.00 beta=90.00 gamma=90.00
Positions (direct):
H (0.0000, 0.5000, 0.0000)
B (0.0000, 0.0000, 0.5000)
B (0.5000, 0.0000, 0.0000)
Zr (0.5000, 0.5000, 0.5000)
Ti (0.0000, 0.0000, 0.0000)

Summary:
theoretical density = 4.57 Mg/m³
spin magnetization = 0.0 μB/cell
uncorrected energy = -6.4821 eV per atom

=====

VASP calculation (PBE-GGA) on a relaxed structure of Tl2BH.

Unit cell a=5.1841 b=5.1841 c=7.0360 alpha=68.38 beta=68.38 gamma=90.00
Positions (direct):
H (0.5000, 0.5000, 0.0000)
H (0.2500, 0.7500, 0.5000)
Tl (0.6502, 0.1250, 0.2500)
Tl (0.0998, 0.6250, 0.2500)
Tl (0.3750, 0.3498, 0.7500)
Tl (0.8750, 0.9002, 0.7500)
B (0.0000, 0.0000, 0.0000)
B (0.7500, 0.2500, 0.5000)

Summary:
theoretical density = 8.65 Mg/m³
spin magnetization = 0.0 μB/cell
uncorrected energy = -2.8198 eV per atom

=====

VASP calculation (PBE-GGA) on a relaxed structure of TlBH3.

Unit cell a=6.7657 b=7.2256 c=7.3957 alpha=130.85 beta=90.00 gamma=90.00
Positions (direct):
Tl (0.8919, 0.6406, 0.3860)
Tl (0.1081, 0.3594, 0.6140)
Tl (0.3919, 0.8594, 0.1140)
Tl (0.6081, 0.1406, 0.8860)
B (0.2508, 0.3701, 0.1739)
B (0.7492, 0.6299, 0.8261)
B (0.7508, 0.1299, 0.3261)
B (0.2492, 0.8701, 0.6739)
H (0.1603, 0.2372, 0.1904)
H (0.8397, 0.7628, 0.8096)
H (0.6603, 0.2628, 0.3096)
H (0.3397, 0.7372, 0.6904)
H (0.4056, 0.4594, 0.2770)
H (0.5944, 0.5406, 0.7230)
H (0.9056, 0.0406, 0.2230)
H (0.0944, 0.9594, 0.7770)
H (0.6849, 0.0870, 0.4476)
H (0.3151, 0.9130, 0.5524)
H (0.1849, 0.4130, 0.0524)
H (0.8151, 0.5870, 0.9476)

Summary:
theoretical density = 5.30 Mg/m³
ΔE to the lowest computed polymorph = 0 meV/atom
spin magnetization = 0.0 μB/cell

=====

VASP calculation (PBE-GGA) on a relaxed structure of TlB2H.

Unit cell a=4.0867 b=4.0867 c=4.0867 alpha=60.00 beta=60.00 gamma=60.00
Positions (direct):
H (0.0000, 0.0000, 0.0000)
Tl (0.5000, 0.5000, 0.5000)
B (0.2500, 0.2500, 0.2500)
B (0.7500, 0.7500, 0.7500)

Summary:
theoretical density = 7.81 Mg/m³
ΔE to the lowest computed polymorph = 1129 meV/atom
spin magnetization = 0.0 μB/cell

=====

VASP calculation (PBE-GGA) on a relaxed structure of TlBH4.

Unit cell a=3.8539 b=5.8526 c=8.4983 alpha=110.14 beta=126.77 gamma=90.00
Positions (direct):
Tl (0.1039, 0.8570, 0.7140)
Tl (0.8961, 0.1430, 0.2860)
B (0.1443, 0.5780, 0.1560)
B (0.8557, 0.4220, 0.8440)
H (0.8650, 0.5895, 0.1791)
H (0.5636, 0.2072, 0.7295)
H (0.0000, 0.3374, 0.0000)
H (0.4364, 0.4777, 0.2705)
H (0.1350, 0.4105, 0.8209)
H (0.4364, 0.7928, 0.2705)
H (0.0000, 0.6626, 0.0000)
H (0.5636, 0.5223, 0.7295)

Summary:
theoretical density = 5.25 Mg/m³
ΔE to the lowest computed polymorph = 280 meV/atom
spin magnetization = 0.0 μB/cell

=====

VASP calculation (PBE-GGA) on a relaxed structure of TlBH4.

Unit cell a=5.0050 b=4.7854 c=6.6983 alpha=90.00 beta=90.00 gamma=90.00
Positions (direct):
Tl (0.2498, 0.9228, 0.0000)
Tl (0.7502, 0.4228, 0.5000)
B (0.7496, 0.5391, 0.0000)
B (0.2504, 0.0391, 0.5000)
H (0.5479, 0.3914, 0.0000)
H (0.9511, 0.3910, 0.0000)
H (0.7498, 0.6919, 0.1489)
H (0.2502, 0.1919, 0.3511)
H (0.0489, 0.8910, 0.5000)
H (0.4521, 0.8914, 0.5000)
H (0.2502, 0.1919, 0.6489)
H (0.7498, 0.6919, 0.8511)

Summary:
theoretical density = 4.54 Mg/m³
ΔE to the lowest computed polymorph = 0 meV/atom
spin magnetization = 0.0 μB/cell

=====

VASP calculation (PBE-GGA) on a relaxed structure of TlBH3.

Unit cell a=3.5845 b=3.5845 c=3.5845 alpha=90.00 beta=90.00 gamma=90.00
Positions (direct):
H (0.0000, 0.5000, 0.0000)
H (0.0000, 0.0000, 0.5000)
H (0.5000, 0.0000, 0.0000)
Tl (0.5000, 0.5000, 0.5000)
B (0.0000, 0.0000, 0.0000)

Summary:
theoretical density = 7.87 Mg/m³
ΔE to the lowest computed polymorph = 703 meV/atom
spin magnetization = 0.0 μB/cell

=====

VASP calculation (PBE-GGA) on a relaxed structure of TlBH3.

Unit cell a=3.9862 b=3.9862 c=3.9862 alpha=90.00 beta=90.00 gamma=90.00
Positions (direct):
H (0.0000, 0.5000, 0.0000)
H (0.0000, 0.0000, 0.5000)
H (0.5000, 0.0000, 0.0000)
Tl (0.0000, 0.0000, 0.0000)
B (0.5000, 0.5000, 0.5000)

Summary:
theoretical density = 5.72 Mg/m³
ΔE to the lowest computed polymorph = 1339 meV/atom
spin magnetization = 0.0 μB/cell